Density functional theory data (PBE) for an optimized crystal structure of LiCuAs2.

The size of the total moment comes out at 0.0 μB/f.u. The total energy comes out at -3.998 eV/atom. The energy relative to the elements comes out at -171 meV per atom. As for the calculated volume: 69 Å³ per cell. The value obtained for the relative energy among the computed polymorphs is 20 meV per atom.

Cell and atoms, written as extended XYZ:
```
4
Lattice="4.047 0.000 0.000 2.024 3.505 0.000 2.024 1.168 4.840" Properties=species:S:1:pos:R:3 pbc="T T T"
Cu 6.071 3.505 4.752
As 2.024 1.168 3.643
As 2.024 1.168 1.152
Li 4.047 2.337 2.552
```